1.
ErAs2 (PBE, relaxed); crystal system = monoclinic
1.0
7.114 0.000 0.000
0.000 5.778 0.000
-2.666 0.000 6.969
Er As
4 8
Direct
0.191 0.218 0.047 Er
0.191 0.282 0.547 Er
0.809 0.718 0.453 Er
0.809 0.782 0.953 Er
0.143 0.633 0.819 As
0.143 0.867 0.319 As
0.398 0.560 0.327 As
0.398 0.940 0.827 As
0.602 0.060 0.173 As
0.602 0.440 0.673 As
0.857 0.133 0.681 As
0.857 0.367 0.181 As

---

2.
TmCuAgSe3 (PBE, relaxed); crystal system = orthorhombic
1.0
1.961 -6.707 0.000
1.961 6.707 0.000
0.000 0.000 10.326
Tm Cu Ag Se
2 2 2 6
Direct
0.000 0.000 0.000 Tm
0.000 0.000 0.500 Tm
0.480 0.520 0.750 Cu
0.520 0.480 0.250 Cu
0.178 0.822 0.250 Ag
0.822 0.178 0.750 Ag
0.092 0.908 0.750 Se
0.356 0.644 0.567 Se
0.356 0.644 0.933 Se
0.644 0.356 0.067 Se
0.644 0.356 0.433 Se
0.908 0.092 0.250 Se

---

Number 1: total energy -5.446 eV per atom. Number 2: total energy -4.337 eV per atom.